Record 1
The following is a PBE calculation of a geometry-optimized BaErAgTe3 structure, from Alexandria.

Summary:
- raw formation energy (kJ/mol of formula units) = -719
- space group = P2_1/m (11)
- calculated total energy (eV per atom) = -4.370

```
BaErAgTe3
1.0
9.200 0.000 0.000
0.000 4.506 0.000
-2.718 0.000 9.802
Ba Er Ag Te
2 2 2 6
Cartesian
1.156 1.127 2.477
5.326 3.380 7.324
0.679 3.380 8.236
5.804 1.127 1.565
-0.856 1.127 5.756
7.338 3.380 4.045
-1.414 1.127 8.554
0.866 3.380 5.193
3.686 3.380 1.519
2.796 1.127 8.283
5.616 1.127 4.608
7.897 3.380 1.248
```

Record 2
The following is a PBE calculation of a geometry-optimized BaErAg2Te4 structure, from Alexandria.

Summary:
- D(E_F) (states/eV per cell) = 4.9
- raw formation energy (kJ/mol of formula units) = -603
- space group = I222 (23)
- calculated total energy (eV per atom) = -3.875

```
BaErAg2Te4
1.0
7.531 0.000 0.000
0.000 8.057 0.000
0.000 0.000 8.985
Ba Er Ag Te
2 2 4 8
Cartesian
0.000 0.000 0.000
3.765 4.029 4.492
0.000 0.000 4.492
3.765 4.029 0.000
0.000 4.029 1.543
0.000 4.029 7.442
3.765 0.000 2.949
3.765 0.000 6.036
1.624 1.752 2.766
1.624 6.305 6.219
2.141 2.277 7.258
2.141 5.780 1.727
5.389 2.277 1.727
5.389 5.780 7.258
5.907 1.752 6.219
5.907 6.305 2.766
```